VASP calculation (PBE-GGA) on a geometry-optimized ReTcAg2 structure.

Cell: 9.8885 2.7515 4.7487 Å, 90.00 99.04 90.00°
Fractional coordinates of all 8 atoms:
Re  0.0000  0.0000  0.0000
Re  0.5000  0.5000  0.0000
Tc  0.0000  0.5000  0.5000
Tc  0.5000  0.0000  0.5000
Ag  0.2503  0.0000  0.7503
Ag  0.2497  0.5000  0.2497
Ag  0.7497  0.0000  0.2497
Ag  0.7503  0.5000  0.7503

Formation energy ... 2.33 eV/f.u.
Excess energy over the best structure of this formula in the dataset ... 377 meV/atom